Computed, not measured: a relaxed BeTeAsBr2 crystal at the PBE level of DFT.

Structure (CIF):
```
data_BeTeAsBr2
_chemical_formula_sum 'Be1 Te1 As1 Br2'
_symmetry_space_group_name_H-M 'P 1'
_symmetry_Int_Tables_number 1
_symmetry_space_group_name_Hall 'P 1'
_cell_length_a 5.6258
_cell_length_b 5.6258
_cell_length_c 5.4420
_cell_angle_alpha 90.00
_cell_angle_beta 90.00
_cell_angle_gamma 90.00
loop_
_atom_site_label
_atom_site_type_symbol
_atom_site_fract_x
_atom_site_fract_y
_atom_site_fract_z
Be1 Be 0.5000 0.5000 0.5000
As1 As 0.0000 0.0000 0.5000
Te1 Te 0.0000 0.0000 0.0000
Br1 Br 0.0000 0.5000 0.0000
Br2 Br 0.5000 0.0000 0.0000
```

Values from the calculation:
DOS at the Fermi energy (states/eV per atom): 1.0875
Energy relative to the lowest polymorph listed for this composition (meV/atom): 710
E_form (uncorrected) (eV per atom): 0.899